Here is a geometry-optimized PrNd8Cd6 structure from Alexandria via LeMat-Bulk. Energies are from PBE.

Geometry as extended XYZ:
```
15
Lattice="-2.1819 8.9352 0.9703 -6.3646 2.5589 6.2036 1.8379 4.4829 6.9309" Properties=species:S:1:pos:R:3 pbc="T T T"
Pr 0.0000 0.0000 0.0000
Nd -1.9161 7.0457 4.3196
Nd -1.2784 10.2135 5.9732
Nd -1.9386 5.1061 7.3878
Nd -3.8612 12.1454 11.7121
Nd -2.8474 3.8316 2.3927
Nd -4.7700 10.8708 6.7170
Nd -5.4301 5.7634 8.1315
Nd -4.7924 8.9312 9.7851
Cd 0.4095 7.3758 6.5793
Cd -3.6135 9.8885 3.7225
Cd -4.2667 4.7897 5.1287
Cd -2.4418 11.1872 8.9761
Cd -3.0950 6.0884 10.3822
Cd -7.1181 8.6011 7.5254
```

* formation energy from the elements: -0.092 eV per atom
* spin magnetization: 0.86 μB/cell

---

Here is a geometry-optimized Ce5ZnGe5 structure from Alexandria via LeMat-Bulk. Energies are from PBE.

Geometry as extended XYZ:
```
11
Lattice="-2.6814 -4.7407 -0.4875 7.8563 -1.5315 2.3501 -2.9616 1.1152 5.4442" Properties=species:S:1:pos:R:3 pbc="T T T"
Ce 0.4782 -3.6051 1.7596
Ce -1.7374 -2.5924 4.0972
Ce -1.4808 0.5576 2.7221
Ce 3.9507 -2.5646 3.2097
Ce 1.7352 -1.5518 5.5473
Zn 0.0000 0.0000 0.0000
Ge 3.0224 -5.0151 1.4772
Ge 1.1558 -4.2695 4.4932
Ge -1.3407 -2.3704 -0.2438
Ge 1.0576 -0.8875 2.8136
Ge -0.8091 -0.1418 5.8296
```

* formation energy from the elements: -0.361 eV per atom
* spin magnetization: 4.64 μB/cell

---

Here is a geometry-optimized SrTcSb2 structure from Alexandria via LeMat-Bulk. Energies are from PBE.

Geometry as extended XYZ:
```
4
Lattice="4.8244 0.0000 0.0000 0.0000 4.8244 0.0000 0.0000 0.0000 4.2554" Properties=species:S:1:pos:R:3 pbc="T T T"
Sb 0.0000 0.0000 0.0000
Sb 2.4122 2.4122 0.0000
Sr 2.4122 0.0000 2.1277
Tc 0.0000 2.4122 2.1277
```

* raw formation energy: 0.24 eV per atom
* offset from the most stable computed form: 0.493 eV/atom
* spin magnetization: 2.19 μB/cell